A relaxed structure of Pr2SmCu2Sn2. Source: Alexandria, functional PBE-GGA.

Results
Total moment: 0.000 μB per atom
Space group: R-3m, No. 166
Calculated total energy: -4.765 eV per atom

The structure in POSCAR format:
```
Pr2SmCu2Sn2
1.0
2.303 1.330 9.791
-2.303 1.330 9.791
0.000 -2.659 9.791
Pr Sm Cu Sn
2 1 2 2
Cartesian
0.000 0.000 3.721 Pr
0.000 0.000 25.651 Pr
0.000 0.000 0.000 Sm
0.000 0.000 11.662 Cu
0.000 0.000 17.710 Cu
0.000 0.000 7.863 Sn
0.000 0.000 21.510 Sn
```


A relaxed structure of PrSmCuSn. Source: Alexandria, functional PBE-GGA.

Results
Total moment: 0.000 μB per atom
Space group: F-43m, No. 216
Calculated total energy: -4.815 eV per atom

The structure in POSCAR format:
```
PrSmCuSn
1.0
7.512 0.000 0.000
0.000 7.512 0.000
0.000 0.000 7.512
Pr Sm Cu Sn
4 4 4 4
Cartesian
0.000 0.000 0.000 Pr
0.000 3.756 3.756 Pr
3.756 0.000 3.756 Pr
3.756 3.756 0.000 Pr
0.000 0.000 3.756 Sm
0.000 3.756 0.000 Sm
3.756 0.000 0.000 Sm
3.756 3.756 3.756 Sm
1.878 1.878 1.878 Cu
1.878 5.634 5.634 Cu
5.634 1.878 5.634 Cu
5.634 5.634 1.878 Cu
1.878 1.878 5.634 Sn
1.878 5.634 1.878 Sn
5.634 1.878 1.878 Sn
5.634 5.634 5.634 Sn
```


A relaxed structure of PrSmCuTc. Source: Alexandria, functional PBE-GGA.

Results
Total moment: 0.000 μB per atom
Space group: F-43m, No. 216
Calculated total energy: -5.930 eV per atom

The structure in POSCAR format:
```
PrSmCuTc
1.0
7.098 0.000 0.000
0.000 7.098 0.000
0.000 0.000 7.098
Pr Sm Cu Tc
4 4 4 4
Cartesian
0.000 0.000 0.000 Pr
0.000 3.549 3.549 Pr
3.549 0.000 3.549 Pr
3.549 3.549 0.000 Pr
0.000 0.000 3.549 Sm
0.000 3.549 0.000 Sm
3.549 0.000 0.000 Sm
3.549 3.549 3.549 Sm
1.774 1.774 1.774 Cu
1.774 5.323 5.323 Cu
5.323 1.774 5.323 Cu
5.323 5.323 1.774 Cu
1.774 1.774 5.323 Tc
1.774 5.323 1.774 Tc
5.323 1.774 1.774 Tc
5.323 5.323 5.323 Tc
```